The following is a PBE-GGA calculation of a relaxed Pm2Pr6Sm3In crystal, from Alexandria.

abc: 6.304 6.304 12.036
angles: 95.08 95.08 120.19
Element x y z (fractional)
Pr: 0.082 0.407 0.247
Sm: 0.500 0.500 0.500
Pr: 0.593 0.918 0.753
Pm: 0.666 0.334 0.000
In: 0.000 0.000 0.000
Pr: 0.243 0.243 0.751
Pr: 0.757 0.757 0.249
Pm: 0.334 0.666 0.000
Pr: 0.918 0.593 0.753
Sm: 0.169 0.831 0.500
Sm: 0.831 0.169 0.500
Pr: 0.407 0.082 0.247

Properties
- space group = C2/m
- electronic total energy (eV per cell) = -55.6
- energy of formation from the pure elements (eV/atom) = -0.046

---

The following is a PBE-GGA calculation of a relaxed PmPrSmIn crystal, from Alexandria.

abc: 5.603 5.603 5.603
angles: 60.00 60.00 60.00
Each line ends with the local moment (μB).
Element x y z (fractional)
Pr: 0.000 0.000 0.000  0.19
Sm: 0.750 0.750 0.750  0.29
In: 0.250 0.250 0.250  0.00
Pm: 0.500 0.500 0.500  0.20

Properties
- space group = F-43m
- electronic total energy (eV per cell) = -17.5
- excess energy over the best structure of this formula in the dataset (meV per atom) = 109
- energy of formation from the pure elements (eV/atom) = -0.137

---

The following is a PBE-GGA calculation of a relaxed Pm6Pr2Sm3In crystal, from Alexandria.

abc: 6.249 6.249 11.988
angles: 95.03 95.03 120.10
Element x y z (fractional)
Pm: 0.242 0.242 0.750
Sm: 0.832 0.168 0.500
Pr: 0.334 0.666 0.000
Sm: 0.500 0.500 0.500
Pm: 0.918 0.593 0.752
Pm: 0.593 0.918 0.752
Sm: 0.168 0.832 0.500
Pr: 0.666 0.334 0.000
Pm: 0.407 0.082 0.248
Pm: 0.082 0.407 0.248
Pm: 0.758 0.758 0.250
In: 0.000 0.000 0.000

Properties
- space group = C2/m
- electronic total energy (eV per cell) = -55.6
- energy of formation from the pure elements (eV/atom) = -0.054

---

The following is a PBE-GGA calculation of a relaxed PmPrSmIn crystal, from Alexandria.

abc: 4.899 4.899 6.176
angles: 113.37 113.37 90.00
Element x y z (fractional)
Pm: 0.000 0.000 0.000
Pr: 0.750 0.250 0.500
Sm: 0.500 0.500 0.000
In: 0.250 0.750 0.500

Properties
- space group = I-4m2
- electronic total energy (eV per cell) = -18.0
- excess energy over the best structure of this formula in the dataset (meV per atom) = 0
- energy of formation from the pure elements (eV/atom) = -0.246

---

The following is a PBE-GGA calculation of a relaxed Pm3Pr2Sm6In crystal, from Alexandria.

abc: 6.238 6.238 11.972
angles: 95.03 95.03 120.09
Element x y z (fractional)
Sm: 0.082 0.407 0.248
Pm: 0.832 0.168 0.500
Sm: 0.593 0.918 0.752
Sm: 0.918 0.593 0.752
In: 0.000 0.000 0.000
Pr: 0.666 0.334 0.000
Pm: 0.168 0.832 0.500
Pr: 0.334 0.666 0.000
Sm: 0.242 0.242 0.751
Pm: 0.500 0.500 0.500
Sm: 0.758 0.758 0.249
Sm: 0.407 0.082 0.248

Properties
- space group = C2/m
- electronic total energy (eV per cell) = -55.5
- energy of formation from the pure elements (eV/atom) = -0.054

---

The following is a PBE-GGA calculation of a relaxed Tb6Pm3Pr2In crystal, from Alexandria.

abc: 6.175 6.175 11.856
angles: 95.00 95.00 120.02
Element x y z (fractional)
Tb: 0.408 0.082 0.247
Tb: 0.082 0.408 0.247
Pr: 0.334 0.666 0.000
Tb: 0.592 0.918 0.753
Pm: 0.500 0.500 0.500
Pr: 0.666 0.334 0.000
Pm: 0.832 0.168 0.500
In: 0.000 0.000 0.000
Pm: 0.168 0.832 0.500
Tb: 0.918 0.592 0.753
Tb: 0.244 0.244 0.752
Tb: 0.756 0.756 0.248

Properties
- space group = C2/m
- electronic total energy (eV per cell) = -55.0
- energy of formation from the pure elements (eV/atom) = -0.058

---

The following is a PBE-GGA calculation of a relaxed Tb2Pm3Pr6In crystal, from Alexandria.

abc: 6.307 6.307 11.973
angles: 95.15 95.15 120.25
Element x y z (fractional)
Pm: 0.169 0.831 0.500
Pm: 0.500 0.500 0.500
Tb: 0.334 0.666 0.000
Pr: 0.406 0.080 0.244
Pr: 0.755 0.755 0.246
Pr: 0.594 0.920 0.756
Pr: 0.920 0.594 0.756
Pr: 0.080 0.406 0.244
Tb: 0.666 0.334 0.000
Pr: 0.245 0.245 0.754
In: 0.000 0.000 0.000
Pm: 0.831 0.169 0.500

Properties
- space group = C2/m
- electronic total energy (eV per cell) = -55.3
- energy of formation from the pure elements (eV/atom) = -0.034

---

The following is a PBE-GGA calculation of a relaxed Tb2PmPrIn4 crystal, from Alexandria.

abc: 5.405 5.405 9.374
angles: 73.24 73.24 60.00
Element x y z (fractional)
In: 0.874 0.874 0.377
Pr: 0.000 0.000 0.000
Tb: 0.250 0.250 0.250
In: 0.126 0.126 0.623
Pm: 0.500 0.500 0.500
In: 0.376 0.376 0.873
Tb: 0.750 0.750 0.750
In: 0.624 0.624 0.127

Properties
- space group = R-3m
- electronic total energy (eV per cell) = -33.6
- energy of formation from the pure elements (eV/atom) = -0.483

---

The following is a PBE-GGA calculation of a relaxed Tb2Pm2Pr2In crystal, from Alexandria.

abc: 5.960 4.215 12.994
angles: 99.25 90.00 134.99
Element x y z (fractional)
Tb: 0.567 0.135 0.627
Pm: 0.859 0.718 0.220
Pr: 0.710 0.420 0.919
Pr: 0.290 0.580 0.081
Tb: 0.433 0.865 0.373
Pm: 0.141 0.282 0.780
In: 0.000 0.000 0.500

Properties
- space group = C2/m
- electronic total energy (eV per cell) = -31.2
- energy of formation from the pure elements (eV/atom) = -0.027

---

The following is a PBE-GGA calculation of a relaxed PmPrIn2Te4 crystal, from Alexandria.

abc: 4.525 8.521 7.835
angles: 72.16 90.00 90.00
Element x y z (fractional)
Pr: 0.500 0.500 0.000
Pm: 0.000 0.500 0.500
Te: 0.000 0.728 0.754
In: 0.000 0.000 0.000
Te: 0.500 0.274 0.739
In: 0.500 0.000 0.500
Te: 0.500 0.726 0.261
Te: 0.000 0.272 0.246

Properties
- space group = P2/m
- electronic total energy (eV per cell) = -35.5
- formation energy (no corrections) (eV per atom) = -0.99

---

The following is a PBE-GGA calculation of a relaxed PmPrThIn crystal, from Alexandria.

abc: 5.582 5.582 5.582
angles: 60.00 60.00 60.00
Element x y z (fractional)
Pr: 0.750 0.750 0.750
Pm: 0.250 0.250 0.250
In: 0.000 0.000 0.000
Th: 0.500 0.500 0.500

Properties
- space group = F-43m
- electronic total energy (eV per cell) = -19.9
- energy of formation from the pure elements (eV/atom) = -0.045

---

The following is a PBE-GGA calculation of a relaxed Pm3Pr3Tl2In crystal, from Alexandria.

abc: 3.850 9.248 9.248
angles: 120.00 90.00 90.00
Element x y z (fractional)
Pr: 0.500 0.000 0.713
Pm: 0.000 0.000 0.385
Pr: 0.500 0.287 0.287
In: 0.000 0.000 0.000
Pr: 0.500 0.713 0.000
Tl: 0.500 0.333 0.667
Pm: 0.000 0.615 0.615
Pm: 0.000 0.385 0.000
Tl: 0.500 0.667 0.333

Properties
- space group = P-62m
- electronic total energy (eV per cell) = -38.6
- energy of formation from the pure elements (eV/atom) = -0.281

---

The following is a PBE-GGA calculation of a relaxed Pm3Pr3TlIn2 crystal, from Alexandria.

abc: 3.840 9.251 9.251
angles: 120.00 90.00 90.00
Element x y z (fractional)
Pm: 0.000 0.387 0.000
Pr: 0.500 0.000 0.713
Pm: 0.000 0.613 0.613
Pm: 0.000 0.000 0.387
Pr: 0.500 0.713 0.000
Tl: 0.000 0.000 0.000
Pr: 0.500 0.287 0.287
In: 0.500 0.333 0.667
In: 0.500 0.667 0.333

Properties
- space group = P-62m
- electronic total energy (eV per cell) = -39.1
- energy of formation from the pure elements (eV/atom) = -0.300

---

The following is a PBE-GGA calculation of a relaxed PmPrTmIn crystal, from Alexandria.

abc: 5.547 5.547 5.547
angles: 60.00 60.00 60.00
Element x y z (fractional)
In: 0.250 0.250 0.250
Pr: 0.500 0.500 0.500
Pm: 0.000 0.000 0.000
Tm: 0.750 0.750 0.750

Properties
- space group = F-43m
- electronic total energy (eV per cell) = -17.4
- excess energy over the best structure of this formula in the dataset (meV per atom) = 0
- energy of formation from the pure elements (eV/atom) = -0.160

---

The following is a PBE-GGA calculation of a relaxed Pm6Pr2Tm3In crystal, from Alexandria.

abc: 6.188 6.188 11.865
angles: 94.98 94.98 120.06
Element x y z (fractional)
Pr: 0.334 0.666 0.000
Pm: 0.241 0.241 0.746
Tm: 0.833 0.167 0.500
Pm: 0.759 0.759 0.254
Pm: 0.084 0.410 0.253
Tm: 0.167 0.833 0.500
Pm: 0.410 0.084 0.253
Pm: 0.590 0.916 0.747
Tm: 0.500 0.500 0.500
Pm: 0.916 0.590 0.747
In: 0.000 0.000 0.000
Pr: 0.666 0.334 0.000

Properties
- space group = C2/m
- electronic total energy (eV per cell) = -54.8
- energy of formation from the pure elements (eV/atom) = -0.053

---

The following is a PBE-GGA calculation of a relaxed PmPrTmIn crystal, from Alexandria.

abc: 5.529 5.529 5.533
angles: 119.98 119.98 90.00
Each line ends with the local moment (μB).
Element x y z (fractional)
In: 0.250 0.750 0.500  0.00
Pm: 0.500 0.500 0.000  0.19
Tm: 0.000 0.000 0.000  0.27
Pr: 0.750 0.250 0.500  0.30

Properties
- space group = F-43m
- electronic total energy (eV per cell) = -17.1
- excess energy over the best structure of this formula in the dataset (meV per atom) = 69
- energy of formation from the pure elements (eV/atom) = -0.091

---

The following is a PBE-GGA calculation of a relaxed Pm2Pr2Tm2In crystal, from Alexandria.

abc: 3.691 6.434 11.532
angles: 116.41 90.00 106.67
Element x y z (fractional)
In: 0.000 0.000 0.500
Tm: 0.735 0.471 0.616
Pr: 0.483 0.967 0.255
Pm: 0.685 0.371 0.093
Tm: 0.265 0.529 0.384
Pm: 0.315 0.629 0.907
Pr: 0.517 0.033 0.745

Properties
- space group = C2/m
- electronic total energy (eV per cell) = -30.9
- energy of formation from the pure elements (eV/atom) = -0.029

---

The following is a PBE-GGA calculation of a relaxed Pm2PrTmIn4 crystal, from Alexandria.

abc: 5.410 5.410 9.411
angles: 73.30 73.30 60.00
Element x y z (fractional)
Pr: 0.000 0.000 0.000
In: 0.377 0.377 0.869
Pm: 0.751 0.751 0.747
In: 0.873 0.873 0.380
In: 0.623 0.623 0.131
Tm: 0.500 0.500 0.500
Pm: 0.249 0.249 0.253
In: 0.127 0.127 0.620

Properties
- space group = R-3m
- electronic total energy (eV per cell) = -33.5
- energy of formation from the pure elements (eV/atom) = -0.473

---

The following is a PBE-GGA calculation of a relaxed Pm3Pr6Tm2In crystal, from Alexandria.

abc: 6.306 6.306 11.894
angles: 95.20 95.20 120.26
Element x y z (fractional)
Pm: 0.500 0.500 0.500
Pr: 0.079 0.406 0.242
Pr: 0.594 0.921 0.758
Pr: 0.921 0.594 0.758
Pr: 0.406 0.079 0.242
In: 0.000 0.000 0.000
Tm: 0.666 0.334 0.000
Tm: 0.334 0.666 0.000
Pm: 0.169 0.831 0.500
Pr: 0.247 0.247 0.755
Pr: 0.753 0.753 0.245
Pm: 0.831 0.169 0.500

Properties
- space group = C2/m
- electronic total energy (eV per cell) = -54.9
- energy of formation from the pure elements (eV/atom) = -0.024

---

The following is a PBE-GGA calculation of a relaxed Pm2Pr6Y3In crystal, from Alexandria.

abc: 6.278 6.278 11.981
angles: 95.04 95.04 120.13
Element x y z (fractional)
Pr: 0.083 0.409 0.249
Pr: 0.758 0.758 0.250
Pr: 0.917 0.591 0.751
Pr: 0.409 0.083 0.249
Pm: 0.667 0.333 0.000
In: 0.000 0.000 0.000
Y: 0.500 0.500 0.500
Pr: 0.591 0.917 0.751
Y: 0.167 0.833 0.500
Pr: 0.242 0.242 0.750
Y: 0.833 0.167 0.500
Pm: 0.333 0.667 0.000

Properties
- space group = C2/m
- electronic total energy (eV per cell) = -60.9
- energy of formation from the pure elements (eV/atom) = -0.047

---

The following is a PBE-GGA calculation of a relaxed PmPrYIn crystal, from Alexandria.

abc: 5.582 5.582 5.582
angles: 60.00 60.00 60.00
Each line ends with the local moment (μB).
Element x y z (fractional)
Pr: 0.000 0.000 0.000  0.14
In: 0.750 0.750 0.750  0.00
Y: 0.250 0.250 0.250  0.22
Pm: 0.500 0.500 0.500  0.15

Properties
- space group = F-43m
- electronic total energy (eV per cell) = -19.3
- excess energy over the best structure of this formula in the dataset (meV per atom) = 0
- energy of formation from the pure elements (eV/atom) = -0.142

---

The following is a PBE-GGA calculation of a relaxed PmPrYIn crystal, from Alexandria.

abc: 5.563 5.563 5.565
angles: 119.99 119.99 90.00
Each line ends with the local moment (μB).
Element x y z (fractional)
Pm: 0.250 0.750 0.500  0.21
Y: 0.750 0.250 0.500  0.23
Pr: 0.000 0.000 0.000  0.35
In: 0.500 0.500 0.000  -0.01

Properties
- space group = F-43m
- electronic total energy (eV per cell) = -19.2
- excess energy over the best structure of this formula in the dataset (meV per atom) = 24
- energy of formation from the pure elements (eV/atom) = -0.118

---

The following is a PBE-GGA calculation of a relaxed PmPr2Zn2In2 crystal, from Alexandria.

abc: 4.773 4.773 9.871
angles: 76.01 76.01 60.00
Element x y z (fractional)
Pr: 0.128 0.128 0.617
In: 0.734 0.734 0.799
Zn: 0.603 0.603 0.190
Pm: 0.000 0.000 0.000
In: 0.266 0.266 0.201
Zn: 0.397 0.397 0.810
Pr: 0.872 0.872 0.383

Properties
- space group = R-3m
- electronic total energy (eV per cell) = -24.5
- energy of formation from the pure elements (eV/atom) = -0.308

---

The following is a PBE-GGA calculation of a relaxed PmPrZn2In2 crystal, from Alexandria.

abc: 4.745 4.745 7.607
angles: 90.00 90.00 120.00
Element x y z (fractional)
Pr: 0.000 0.000 0.000
Zn: 0.333 0.667 0.269
Pm: 0.000 0.000 0.500
Zn: 0.667 0.333 0.731
In: 0.333 0.667 0.742
In: 0.667 0.333 0.258

Properties
- space group = P-3m1
- electronic total energy (eV per cell) = -20.3
- energy of formation from the pure elements (eV/atom) = -0.453

---

The following is a PBE-GGA calculation of a relaxed PmIn2Pt crystal, from Alexandria.

abc: 4.809 4.385 4.385
angles: 90.00 90.00 90.00
Element x y z (fractional)
Pt: 0.500 0.000 0.000
In: 0.000 0.500 0.000
In: 0.000 0.000 0.500
Pm: 0.500 0.500 0.500

Properties
- space group = P4/mmm
- electronic total energy (eV per cell) = -18.4
- excess energy over the best structure of this formula in the dataset (meV per atom) = 207
- energy of formation from the pure elements (eV/atom) = -0.545